[1]
Below is Ba2DyInSe5 at its PBEsol-relaxed geometry, with properties calculated at the SCAN level.

a b c (Å): 4.2486 9.5752 13.1942
angles (deg): 90.00 90.00 102.82
Closest atoms and distances in Å follow each position.
Fractional coordinates of all 18 atoms:
Dy 0.7892 0.5784 0.5163  6 Se 2.74-3.04
Ba 0.8675 0.7349 0.8132  7 Se 3.25-3.44
Se 0.2919 0.5837 0.6562  2 Dy 2.81
Ba 0.1180 0.2361 0.6826  8 Se 3.24-3.57
Se 0.0504 0.1008 0.0545  2 In 2.62
Se 0.3570 0.7140 0.0004  1 Dy 2.74
In 0.5513 0.1025 0.9386  4 Se 2.53-2.71
Ba 0.8820 0.7639 0.1826  8 Se 3.24-3.57
Dy 0.2108 0.4216 0.0163  6 Se 2.74-3.04
Se 0.6874 0.3748 0.8676  1 In 2.71, 2 Dy 2.92
Se 0.3126 0.6252 0.3676  1 In 2.71, 2 Dy 2.92
Se 0.4948 0.9897 0.7643  1 In 2.53
Se 0.5052 0.0103 0.2643  1 In 2.53
Se 0.7081 0.4163 0.1562  2 Dy 2.81
Se 0.6430 0.2860 0.5004  1 Dy 2.74
Ba 0.1325 0.2651 0.3132  7 Se 3.25-3.44
Se 0.9496 0.8992 0.5545  2 In 2.62
In 0.4487 0.8975 0.4386  4 Se 2.53-2.71

Computed properties:
Formation energy (no corrections), meV per atom: -1849
Fermi-level density of states, states/eV per cell: 0.00
Total magnetization, μB/cell: 0.0



[2]
Below is Ba3DyIrRuO9 at its PBEsol-relaxed geometry, with properties calculated at the SCAN level.

a b c (Å): 5.8578 5.8578 14.4767
angles (deg): 90.00 90.00 120.00
Closest atoms and distances in Å follow each position.
Fractional coordinates of all 30 atoms:
O 0.1762 0.3523 0.4141  1 Ir 1.96, 1 Dy 2.17
O 0.8238 0.1762 0.9141  1 Ir 1.96, 1 Dy 2.17
O 0.6463 0.8231 0.0885  1 Ru 1.92
O 0.1769 0.3537 0.0885  1 Ru 1.92
O 0.3523 0.1762 0.9141  1 Ir 1.96, 1 Dy 2.17
Ba 0.3333 0.6667 0.9056  12 O 2.89-3.09
Ir 0.3333 0.6667 0.3353  6 O 1.96-2.03
O 0.8238 0.6477 0.9141  1 Ir 1.96, 1 Dy 2.17
O 0.9814 0.4907 0.7488  1 Ru 2.02, 1 Ir 2.03
O 0.6477 0.8238 0.4141  1 Ir 1.96, 1 Dy 2.17
Ba 0.0000 0.0000 0.2501  12 O 2.93-2.97
O 0.4907 0.9814 0.2488  1 Ru 2.02, 1 Ir 2.03
O 0.0186 0.5093 0.2488  1 Ru 2.02, 1 Ir 2.03
Ba 0.0000 0.0000 0.7501  12 O 2.93-2.97
O 0.5093 0.4907 0.7488  1 Ru 2.02, 1 Ir 2.03
O 0.3537 0.1769 0.5885  1 Ru 1.92
Ba 0.6667 0.3333 0.4056  12 O 2.89-3.09
O 0.8231 0.1769 0.5885  1 Ru 1.92
Dy 0.0000 0.0000 0.9997  6 O 2.17-2.21
Dy 0.0000 0.0000 0.4997  6 O 2.17-2.21
Ru 0.6667 0.3333 0.6635  6 O 1.92-2.02
O 0.1762 0.8238 0.4141  1 Ir 1.96, 1 Dy 2.17
Ir 0.6667 0.3333 0.8353  6 O 1.96-2.03
O 0.8231 0.6463 0.5885  1 Ru 1.92
O 0.4907 0.5093 0.2488  1 Ru 2.02, 1 Ir 2.03
O 0.1769 0.8231 0.0885  1 Ru 1.92
O 0.5093 0.0186 0.7488  1 Ru 2.02, 1 Ir 2.03
Ba 0.3333 0.6667 0.5918  12 O 2.89-3.03
Ba 0.6667 0.3333 0.0918  12 O 2.89-3.03
Ru 0.3333 0.6667 0.1635  6 O 1.92-2.02

Computed properties:
Formation energy (no corrections), meV per atom: -2448
Fermi-level density of states, states/eV per cell: 3.21
Total magnetization, μB/cell: 4.0



[3]
Below is Ba3Dy4O9 at its PBEsol-relaxed geometry, with properties calculated at the SCAN level.

a b c (Å): 6.0665 6.0665 9.1310
angles (deg): 70.60 70.60 60.00
Closest atoms and distances in Å follow each position.
Fractional coordinates of all 16 atoms:
Ba 0.8367 0.8367 0.4900  6 O 2.76-2.78
Dy 0.7009 0.7009 0.8973  6 O 2.21-2.29
O 0.4206 0.8555 0.7423  2 Dy 2.21-2.22
Dy 0.1370 0.1370 0.5890  6 O 2.22-2.27
Ba 0.0022 0.0022 0.9934  6 O 2.73-2.78
O 0.4166 0.9587 0.0772  3 Dy 2.20-2.37
Dy 0.5760 0.5760 0.2719  6 O 2.20-2.37
O 0.8555 0.9816 0.7423  2 Dy 2.21-2.22
O 0.8745 0.4129 0.4136  3 Dy 2.20-2.42
Dy 0.2625 0.2625 0.2125  6 O 2.20-2.42
Ba 0.4246 0.4246 0.7261  3 O 2.65
O 0.4129 0.2991 0.4136  3 Dy 2.20-2.42
O 0.9587 0.5475 0.0772  3 Dy 2.20-2.37
O 0.5475 0.4166 0.0772  3 Dy 2.20-2.37
O 0.9816 0.4206 0.7423  2 Dy 2.21-2.22
O 0.2991 0.8745 0.4136  3 Dy 2.20-2.42

Computed properties:
Formation energy (no corrections), meV per atom: -3485
Fermi-level density of states, states/eV per cell: 0.00
Total magnetization, μB/cell: 0.0



[4]
Below is BaDy2PdO5 at its PBEsol-relaxed geometry, with properties calculated at the SCAN level.

a b c (Å): 5.8214 6.4781 6.4781
angles (deg): 90.00 90.00 90.00
Closest atoms and distances in Å follow each position.
Fractional coordinates of all 18 atoms:
O 0.7406 0.8596 0.3596  1 Pd 1.98, 1 Dy 2.21
Ba 0.0000 0.5000 0.5000  10 O 2.91-2.92, 4 Pd 3.24
Pd 0.0000 0.0000 0.5000  4 O 1.98
Dy 0.5000 0.6731 0.1731  4 O 2.21-2.40
Dy 0.5000 0.1731 0.3269  4 O 2.21-2.40
O 0.2594 0.8596 0.3596  1 Pd 1.98, 1 Dy 2.21
O 0.2594 0.1404 0.6404  1 Pd 1.98, 1 Dy 2.21
O 0.7406 0.3596 0.1404  1 Pd 1.98, 1 Dy 2.21
Dy 0.5000 0.8269 0.6731  4 O 2.21-2.40
O 0.2594 0.6404 0.8596  1 Pd 1.98, 1 Dy 2.21
O 0.2594 0.3596 0.1404  1 Pd 1.98, 1 Dy 2.21
O 0.7406 0.6404 0.8596  1 Pd 1.98, 1 Dy 2.21
Dy 0.5000 0.3269 0.8269  4 O 2.21-2.40
Ba 0.0000 0.0000 0.0000  10 O 2.91-2.92, 4 Pd 3.24
O 0.5000 0.5000 0.5000  4 Dy 2.40
O 0.7406 0.1404 0.6404  1 Pd 1.98, 1 Dy 2.21
O 0.5000 0.0000 0.0000  4 Dy 2.40
Pd 0.0000 0.5000 0.0000  4 O 1.98

Computed properties:
Formation energy (no corrections), meV per atom: -2998
Fermi-level density of states, states/eV per cell: 0.00
Total magnetization, μB/cell: 0.0



[5]
Below is Ba6Er2Ga4O15 at its PBEsol-relaxed geometry, with properties calculated at the SCAN level.

a b c (Å): 5.9410 7.9053 18.3590
angles (deg): 91.35 90.00 90.00
Closest atoms and distances in Å follow each position.
Fractional coordinates of all 54 atoms:
O 0.0417 0.7204 0.6888  1 Ga 1.83
Ga 0.2540 0.2453 0.5585  4 O 1.86-1.88
O 0.4867 0.2333 0.0014  1 Ga 1.86
Ba 0.2463 0.4991 0.4222  2 O 2.53-2.79
Ga 0.7460 0.7547 0.4415  4 O 1.86-1.88
O 0.2457 0.4699 0.5900  1 Ga 1.86
O 0.0417 0.2796 0.8112  1 Ga 1.83
O 0.7543 0.5301 0.4100  1 Ga 1.86
Ba 0.3283 0.5000 0.7500  8 O 2.70-2.98
O 0.2457 0.5301 0.9100  1 Ga 1.86
Er 0.7485 0.7532 0.0897  6 O 2.18-2.32
Ba 0.2463 0.5009 0.0778  2 O 2.53-2.79
Ba 0.2798 0.0000 0.7500  7 O 2.65-2.95
Ba 0.7502 0.9750 0.9105  8 O 2.73-3.04
O 0.7671 0.9559 0.3919  1 Ga 1.86
Ga 0.7726 0.7693 0.7333  4 O 1.81-1.87
O 0.9583 0.2796 0.3112  1 Ga 1.83
O 0.1892 0.0000 0.2500  2 Ga 1.86
Er 0.2515 0.2468 0.9103  6 O 2.18-2.32
O 0.5133 0.7667 0.9986  1 Ga 1.86
O 0.4867 0.7667 0.4986  1 Ga 1.86
O 0.0132 0.7666 0.0081  1 Ga 1.88
O 0.9868 0.2334 0.9919  1 Ga 1.88
O 0.2329 0.9559 0.8919  1 Ga 1.86
O 0.7543 0.4699 0.0900  1 Ga 1.86
O 0.2329 0.0441 0.6081  1 Ga 1.86
Ba 0.6717 0.5000 0.2500  8 O 2.70-2.98
O 0.9868 0.7666 0.5081  1 Ga 1.88
O 0.5460 0.7535 0.6628  1 Ga 1.87
O 0.5133 0.2333 0.5014  1 Ga 1.86
Ga 0.7726 0.2307 0.7667  4 O 1.81-1.87
O 0.4540 0.7535 0.1628  1 Ga 1.87
O 0.3391 0.6905 0.3177  1 Ga 1.81
Ba 0.7537 0.5009 0.5778  2 O 2.53-2.79
Ba 0.7202 0.0000 0.2500  7 O 2.65-2.95
Er 0.2515 0.7532 0.5897  6 O 2.18-2.32
Ba 0.2498 0.9750 0.4105  8 O 2.73-3.04
O 0.5460 0.2465 0.8372  1 Ga 1.87
Ba 0.7502 0.0250 0.5895  8 O 2.73-3.04
Ga 0.2540 0.7547 0.9415  4 O 1.86-1.88
Ga 0.2274 0.7693 0.2333  4 O 1.81-1.87
Er 0.7485 0.2468 0.4103  6 O 2.18-2.32
Ba 0.2498 0.0250 0.0895  8 O 2.73-3.04
O 0.0132 0.2334 0.4919  1 Ga 1.88
O 0.3391 0.3095 0.1823  1 Ga 1.81
Ga 0.2274 0.2307 0.2667  4 O 1.81-1.87
O 0.9583 0.7204 0.1888  1 Ga 1.83
O 0.6609 0.3095 0.6823  1 Ga 1.81
O 0.4540 0.2465 0.3372  1 Ga 1.87
Ba 0.7537 0.4991 0.9222  2 O 2.53-2.79
O 0.6609 0.6905 0.8177  1 Ga 1.81
O 0.7671 0.0441 0.1081  1 Ga 1.86
O 0.8108 0.0000 0.7500  2 Ga 1.86
Ga 0.7460 0.2453 0.0585  4 O 1.86-1.88

Computed properties:
Formation energy (no corrections), meV per atom: -2888
Fermi-level density of states, states/eV per cell: 0.00
Total magnetization, μB/cell: 0.0



[6]
Below is Ba2ErGaTe5 at its PBEsol-relaxed geometry, with properties calculated at the SCAN level.

a b c (Å): 4.4312 10.2513 13.9004
angles (deg): 90.00 90.00 102.48
Closest atoms and distances in Å follow each position.
Fractional coordinates of all 18 atoms:
Te 0.7046 0.4093 0.1620  2 Er 2.99
Er 0.7942 0.5885 0.5177  6 Te 2.94-3.19
Ga 0.5603 0.1205 0.9271  4 Te 2.59-2.72
Te 0.9529 0.9058 0.5386  2 Ga 2.72
Te 0.6883 0.3766 0.8644  1 Ga 2.71
Ba 0.1211 0.2421 0.6827  7 Te 3.40-3.62
Te 0.4987 0.9973 0.7634  1 Ga 2.59
Te 0.6477 0.2954 0.5014  1 Er 2.94
Ba 0.8725 0.7450 0.8173  7 Te 3.41-3.74
Te 0.3117 0.6234 0.3644  1 Ga 2.71
Ga 0.4397 0.8795 0.4271  4 Te 2.59-2.72
Te 0.2954 0.5907 0.6620  2 Er 2.99
Ba 0.8789 0.7579 0.1827  7 Te 3.40-3.62
Er 0.2058 0.4115 0.0177  6 Te 2.94-3.19
Te 0.0471 0.0942 0.0386  2 Ga 2.72
Ba 0.1275 0.2550 0.3173  7 Te 3.41-3.74
Te 0.3523 0.7046 0.0014  1 Er 2.94
Te 0.5013 0.0027 0.2634  1 Ga 2.59

Computed properties:
Formation energy (no corrections), meV per atom: -1426
Total magnetization, μB/cell: 0.0



[7]
Below is Ba2ErMoO6 at its PBEsol-relaxed geometry, with properties calculated at the SCAN level.

a b c (Å): 5.8800 5.8797 5.8797
angles (deg): 90.00 120.00 120.00
Closest atoms and distances in Å follow each position.
Fractional coordinates of all 10 atoms:
Mo 0.5000 0.0000 0.0000  6 O 1.96
O 0.9711 0.2353 0.2353  1 Mo 1.96
Ba 0.0000 0.2500 0.7500  12 O 2.94
Ba 0.0000 0.7500 0.2500  12 O 2.94
O 0.4993 0.7641 0.7641  1 Mo 1.96
O 0.5000 0.2356 0.7644  1 Mo 1.96
Er 0.5000 0.5000 0.5000  6 O 2.20
O 0.5000 0.7644 0.2356  1 Mo 1.96
O 0.5007 0.2359 0.2359  1 Mo 1.96
O 0.0289 0.7647 0.7647  1 Mo 1.96

Computed properties:
Formation energy (no corrections), meV per atom: -3090
Fermi-level density of states, states/eV per cell: 3.20
Total magnetization, μB/cell: 0.0